i | ZnCd2Pd2 | GGA-PBE | relaxed

Unit cell a=6.649 b=6.649 c=4.134 alpha=90.00 beta=90.00 gamma=90.00
Atoms (fractional coordinates):
Zn: 0.000 0.000 0.000
Zn: 0.500 0.500 0.000
Cd: 0.159 0.341 0.500
Cd: 0.341 0.841 0.500
Cd: 0.659 0.159 0.500
Cd: 0.841 0.659 0.500
Pd: 0.147 0.647 0.000
Pd: 0.353 0.147 0.000
Pd: 0.647 0.853 0.000
Pd: 0.853 0.353 0.000

Values from the calculation:
Total moment = 0.00 μB per cell

ii | ZnCd2Pd2 | GGA-PBE | relaxed

Unit cell a=3.846 b=3.846 c=13.635 alpha=90.00 beta=90.00 gamma=90.00
Atoms (fractional coordinates):
Zn: 0.000 0.000 0.000
Zn: 0.500 0.500 0.500
Cd: 0.000 0.000 0.397
Cd: 0.000 0.000 0.603
Cd: 0.500 0.500 0.103
Cd: 0.500 0.500 0.897
Pd: 0.000 0.500 0.250
Pd: 0.000 0.500 0.750
Pd: 0.500 0.000 0.250
Pd: 0.500 0.000 0.750

Values from the calculation:
Total moment = 0.00 μB per cell

Least stable = ii

i | ZnCd2Pd2 | GGA-PBE | relaxed

Unit cell a=7.781 b=7.781 c=3.061 alpha=90.00 beta=90.00 gamma=90.00
Atoms (fractional coordinates):
Zn: 0.000 0.000 0.000
Zn: 0.500 0.500 0.000
Cd: 0.144 0.356 0.000
Cd: 0.356 0.856 0.000
Cd: 0.644 0.144 0.000
Cd: 0.856 0.644 0.000
Pd: 0.154 0.654 0.500
Pd: 0.346 0.154 0.500
Pd: 0.654 0.846 0.500
Pd: 0.846 0.346 0.500

Values from the calculation:
Total moment = 0.00 μB per cell

ii | ZnCd2Pd2 | GGA-PBE | relaxed

Unit cell a=3.870 b=3.870 c=13.225 alpha=90.00 beta=90.00 gamma=90.00
Atoms (fractional coordinates):
Zn: 0.000 0.000 0.000
Zn: 0.500 0.500 0.500
Cd: 0.000 0.500 0.250
Cd: 0.000 0.500 0.750
Cd: 0.500 0.000 0.250
Cd: 0.500 0.000 0.750
Pd: 0.000 0.000 0.403
Pd: 0.000 0.000 0.597
Pd: 0.500 0.500 0.097
Pd: 0.500 0.500 0.903

Values from the calculation:
Total moment = 0.00 μB per cell

Least stable = ii

i | ZrCdPd3 | GGA-PBE | relaxed

Unit cell a=4.924 b=4.924 c=4.924 alpha=90.00 beta=90.00 gamma=90.00
Atoms (fractional coordinates):
Zr: 0.000 0.000 0.000
Cd: 0.500 0.500 0.500
Pd: 0.000 0.000 0.500
Pd: 0.000 0.500 0.000
Pd: 0.500 0.000 0.000

Values from the calculation:
Total moment = 0.00 μB per cell

ii | ZrCdPd3 | GGA-PBE | relaxed

Unit cell a=5.379 b=5.040 c=7.479 alpha=90.00 beta=111.07 gamma=90.00
Atoms (fractional coordinates):
Zr: 0.189 0.250 0.379
Zr: 0.811 0.750 0.621
Cd: 0.436 0.750 0.872
Cd: 0.564 0.250 0.128
Pd: 0.000 0.000 0.000
Pd: 0.000 0.500 0.000
Pd: 0.107 0.250 0.709
Pd: 0.399 0.750 0.292
Pd: 0.601 0.250 0.708
Pd: 0.893 0.750 0.291

Values from the calculation:
Total moment = 0.00 μB per cell

Least stable = i